(1)
Entry from Alexandria: an optimized crystal structure of Ce5InTc2 (PBE).

Cell and atoms, written as POSCAR:
```
Ce5InTc2
1.0
-2.681 4.134 4.245
2.681 -4.134 4.245
2.681 4.134 -4.245
Ce In Tc
5 1 2
Direct
0.000 0.000 0.000
0.024 0.339 0.685
0.346 0.661 0.685
0.654 0.339 0.315
0.976 0.661 0.315
0.500 0.000 0.500
0.305 0.305 0.000
0.695 0.695 0.000
```

Calculated values
As for the density: 8.92 g cm⁻³. Its energy of formation is -7 meV/atom. The space group is Immm (71). The magnetization is 0.001 μB per formula unit. As for the raw total energy: -6.650 eV per atom.

---

(2)
Entry from Alexandria: an optimized crystal structure of Ce7InTc2 (PBE).

Cell and atoms, written as POSCAR:
```
Ce7InTc2
1.0
4.404 -6.641 0.000
4.404 6.641 0.000
0.000 0.000 5.156
Ce In Tc
7 1 2
Direct
0.000 0.000 0.000
0.215 0.447 0.000
0.216 0.784 0.500
0.447 0.215 0.000
0.553 0.785 0.000
0.784 0.216 0.500
0.785 0.553 0.000
0.500 0.500 0.500
0.186 0.814 0.000
0.814 0.186 0.000
```

Calculated values
As for the density: 7.11 g cm⁻³. Its energy of formation is 58 meV/atom. The space group is Cmmm (65). The magnetization is 4.449 μB per formula unit. As for the raw total energy: -6.443 eV per atom.

---

(3)
Entry from Alexandria: an optimized crystal structure of Ce2In8Tc (PBE).

Cell and atoms, written as POSCAR:
```
Ce2In8Tc
1.0
4.715 0.000 0.000
0.000 4.715 0.000
0.000 0.000 12.353
Ce In Tc
2 8 1
Direct
0.000 0.000 0.193
0.000 0.000 0.807
0.000 0.500 0.000
0.000 0.500 0.379
0.000 0.500 0.621
0.500 0.000 0.000
0.500 0.000 0.379
0.500 0.000 0.621
0.500 0.500 0.190
0.500 0.500 0.810
0.000 0.000 0.500
```

Calculated values
As for the density: 7.84 g cm⁻³. Its energy of formation is -256 meV/atom. The space group is P4/mmm (123). The magnetization is 1.825 μB per formula unit. As for the raw total energy: -4.269 eV per atom.

---

(4)
Entry from Alexandria: an optimized crystal structure of CeInTc (PBE).

Cell and atoms, written as POSCAR:
```
CeInTc
1.0
6.006 -2.423 0.000
6.006 2.423 0.000
-1.321 0.000 4.711
Ce In Tc
2 2 2
Direct
0.137 0.137 0.337
0.863 0.863 0.663
0.425 0.425 0.201
0.575 0.575 0.799
0.197 0.197 0.841
0.803 0.803 0.159
```

Calculated values
As for the density: 8.55 g cm⁻³. Its energy of formation is -281 meV/atom. For the energy above the most stable polymorph in this dataset, the calculation gives 0 meV/atom. The space group is C2/m (12). The magnetization is 0.000 μB per formula unit. As for the raw total energy: -6.627 eV per atom.

---

(5)
Entry from Alexandria: an optimized crystal structure of Ce7In2Tc2 (PBE).

Cell and atoms, written as POSCAR:
```
Ce7In2Tc2
1.0
3.989 -5.692 0.000
3.989 5.692 0.000
0.000 0.000 6.790
Ce In Tc
7 2 2
Direct
0.000 0.000 0.000
0.000 0.500 0.267
0.000 0.500 0.733
0.500 0.000 0.267
0.500 0.000 0.733
0.500 0.500 0.202
0.500 0.500 0.798
0.178 0.178 0.500
0.822 0.822 0.500
0.266 0.734 0.000
0.734 0.266 0.000
```

Calculated values
As for the density: 7.57 g cm⁻³. Its energy of formation is -32 meV/atom. The space group is Cmmm (65). The magnetization is 2.809 μB per formula unit. As for the raw total energy: -6.190 eV per atom.

---

(6)
Entry from Alexandria: an optimized crystal structure of Ce3InTc (PBE).

Cell and atoms, written as POSCAR:
```
Ce3InTc
1.0
5.288 0.000 0.000
0.000 5.288 0.000
0.000 0.000 5.288
Ce In Tc
3 1 1
Direct
0.000 0.000 0.500
0.000 0.500 0.000
0.500 0.000 0.000
0.500 0.500 0.500
0.000 0.000 0.000
```

Calculated values
As for the density: 7.11 g cm⁻³. Its energy of formation is -101 meV/atom. For the energy above the most stable polymorph in this dataset, the calculation gives 92 meV/atom. The space group is Pm-3m (221). The magnetization is 1.438 μB per formula unit. As for the raw total energy: -6.282 eV per atom.